The following is a GGA-PBE calculation of an optimized crystal structure of Pm4CrGe5, from Alexandria.

Lattice parameters (Å, degrees): 9.1055 9.1055 5.9953 90.00 90.00 90.00
Closest atoms and distances in Å follow each position.
Space group I4 (No. 79)
Asymmetric unit:
Pm 0.0840 0.3039 0.0000 [8 per cell]  6 Ge 2.89-3.05
Cr 0.0000 0.0000 0.4760 [2 per cell]  5 Ge 2.49-2.57
Ge 0.0000 0.0000 0.0614 [2 per cell]  1 Cr 2.49
Ge 0.0950 0.2650 0.5010 [8 per cell]  1 Cr 2.57

## Properties
Electronic total energy, eV/atom: -5.57
Density of states at the Fermi level, states/eV/cell: 19.5
Total magnetic moment, μB per formula unit: 1.48
Formation energy, meV/atom: -401
Volume, Å³/cell: 497.1


The following is a GGA-PBE calculation of an optimized crystal structure of CoPWS2, from Alexandria.

Lattice parameters (Å, degrees): 4.6145 4.6145 4.8240 90.00 90.00 90.00
Closest atoms and distances in Å follow each position.
Space group P4/mmm (No. 123)
Asymmetric unit:
Co 0.0000 0.0000 0.0000 [1 per cell]  4 P 3.26, 8 S 3.34
P 0.5000 0.5000 0.0000 [1 per cell]  2 W 2.41
W 0.5000 0.5000 0.5000 [1 per cell]  4 S 2.31, 2 P 2.41
S 0.0000 0.5000 0.5000 [2 per cell]  2 W 2.31

## Properties
Electronic total energy, eV/atom: -5.95
Density of states at the Fermi level, states/eV/cell: 7.8
Total magnetic moment, μB per formula unit: 2.47
Excess energy over the best structure of this formula in the dataset, eV per atom: 0.000
Formation energy without anion corrections, eV/atom: 0.793
Volume, Å³/cell: 102.7


The following is a GGA-PBE calculation of an optimized crystal structure of MgIrRu, from Alexandria.

Lattice parameters (Å, degrees): 2.7832 2.7832 11.8877 90.00 90.00 90.00
Closest atoms and distances in Å follow each position.
Space group I4mm (No. 107)
Asymmetric unit:
Mg 0.0000 0.0000 0.0000 [2 per cell]  4 Mg 2.78, 4 Ir 2.87, 4 Ru 2.90
Ir 0.0000 0.0000 0.6759 [2 per cell]  4 Ru 2.61, 4 Ir 2.78, 4 Mg 2.87
Ru 0.0000 0.0000 0.3206 [2 per cell]  4 Ir 2.61, 4 Ru 2.78, 4 Mg 2.90

## Properties
Electronic total energy, eV/atom: -6.70
Density of states at the Fermi level, states/eV/cell: 4.8
Total magnetic moment, μB per formula unit: 0.00
Excess energy over the best structure of this formula in the dataset, eV per atom: 0.000
Formation energy, meV/atom: -118
Volume, Å³/cell: 92.1


The following is a GGA-PBE calculation of an optimized crystal structure of ThInCo2, from Alexandria.

Lattice parameters (Å, degrees): 6.6448 6.6448 6.6448 90.00 90.00 90.00
Closest atoms and distances in Å follow each position.
Space group Fm-3m (No. 225)
Asymmetric unit:
Th 0.0000 0.0000 0.0000 [4 per cell]  8 Co 2.88
In 0.0000 0.0000 0.5000 [4 per cell]  8 Co 2.88
Co 0.2500 0.2500 0.2500 [8 per cell]  4 In 2.88, 4 Th 2.88

## Properties
Electronic total energy, eV/atom: -6.21
Density of states at the Fermi level, states/eV/cell: 10.3
Total magnetic moment, μB per formula unit: 1.20
Formation energy, meV/atom: -121
Volume, Å³/cell: 293.4